NaPa2Br11 PBE-GGA optimized geometry; spin magnetization = 0.000 μB/atom; ΔE_f (raw) = -1.422 eV per atom; N(E_F) = 0.0 states/eV/cell; SG = No. 72
1.0
-5.6719 8.1473 7.4025
5.6719 -8.1473 7.4025
5.6719 8.1473 -7.4025
Na Pa Br
2 4 22
direct
0.2500 0.2500 0.0000 Na
0.7500 0.7500 0.0000 Na
0.0791 0.7279 0.8070 Pa
0.4209 0.2279 0.6488 Pa
0.5791 0.7721 0.3512 Pa
0.9209 0.2721 0.1930 Pa
0.0000 0.5000 0.5000 Br
0.0467 0.5183 0.8264 Br
0.0931 0.9242 0.7630 Br
0.1505 0.9386 0.0892 Br
0.1612 0.3302 0.2370 Br
0.1919 0.0183 0.4715 Br
0.3081 0.7797 0.8264 Br
0.3388 0.5758 0.1690 Br
0.3495 0.4386 0.7881 Br
0.4069 0.1698 0.8310 Br
0.4533 0.2797 0.4715 Br
0.5000 0.0000 0.5000 Br
0.5467 0.7203 0.5285 Br
0.5931 0.8302 0.1690 Br
0.6505 0.5614 0.2119 Br
0.6612 0.4242 0.8310 Br
0.6919 0.2203 0.1736 Br
0.8081 0.9817 0.5285 Br
0.8388 0.6698 0.7630 Br
0.8495 0.0614 0.9108 Br
0.9069 0.0758 0.2370 Br
0.9533 0.4817 0.1736 Br